[1]
The following is a DFT calculation (meta-GGA SCAN) of MgPtAu2 at its PBEsol-relaxed geometry.

```
data_MgPtAu2
_cell_length_a 4.9315
_cell_length_b 4.9315
_cell_length_c 4.9315
_cell_angle_alpha 132.02
_cell_angle_beta 132.02
_cell_angle_gamma 70.20
_symmetry_space_group_name_H-M 'P 1'
_symmetry_Int_Tables_number 1
loop_
_symmetry_equiv_pos_as_xyz
'x,y,z'
loop_
_atom_site_label
_atom_site_type_symbol
_atom_site_fract_x
_atom_site_fract_y
_atom_site_fract_z
Mg1 Mg 0.0000 0.0000 0.0000
Pt1 Pt 0.2500 0.7500 0.5000
Au1 Au 0.5000 0.5000 0.0000
Au2 Au 0.7500 0.2500 0.5000
```

Properties
- DOS(E_F) (states/eV/f.u.) = 0.93
- uncorrected energy (eV for the cell shown) = -215.59
- SG = I-4m2, No. 119

***

[2]
The following is a DFT calculation (meta-GGA SCAN) of Mg2PtAu at its PBEsol-relaxed geometry.

```
data_Mg2PtAu
_cell_length_a 3.0527
_cell_length_b 3.1887
_cell_length_c 6.7062
_cell_angle_alpha 90.00
_cell_angle_beta 90.00
_cell_angle_gamma 90.00
_symmetry_space_group_name_H-M 'P 1'
_symmetry_Int_Tables_number 1
loop_
_symmetry_equiv_pos_as_xyz
'x,y,z'
loop_
_atom_site_label
_atom_site_type_symbol
_atom_site_fract_x
_atom_site_fract_y
_atom_site_fract_z
Mg1 Mg 0.0000 0.0000 0.2379
Mg2 Mg 0.0000 0.0000 0.7621
Pt1 Pt 0.5000 0.5000 0.0000
Au1 Au 0.5000 0.5000 0.5000
```

Properties
- DOS(E_F) (states/eV/f.u.) = 1.20
- uncorrected energy (eV for the cell shown) = -152.79
- SG = Pmmm, No. 47

***

[3]
The following is a DFT calculation (meta-GGA SCAN) of RbMgAu3 at its PBEsol-relaxed geometry.

```
data_RbMgAu3
_cell_length_a 5.1272
_cell_length_b 5.1272
_cell_length_c 5.1272
_cell_angle_alpha 90.00
_cell_angle_beta 90.00
_cell_angle_gamma 90.00
_symmetry_space_group_name_H-M 'P 1'
_symmetry_Int_Tables_number 1
loop_
_symmetry_equiv_pos_as_xyz
'x,y,z'
loop_
_atom_site_label
_atom_site_type_symbol
_atom_site_fract_x
_atom_site_fract_y
_atom_site_fract_z
Rb1 Rb 0.0000 0.0000 0.0000
Mg1 Mg 0.5000 0.5000 0.5000
Au1 Au 0.0000 0.5000 0.5000
Au2 Au 0.5000 0.0000 0.5000
Au3 Au 0.5000 0.5000 0.0000
```

Properties
- DOS(E_F) (states/eV/f.u.) = 1.19
- uncorrected energy (eV for the cell shown) = -234.06
- SG = Pm-3m, No. 221
- excess energy over the best structure of this formula in the dataset (eV/atom) = 0.000

***

[4]
The following is a DFT calculation (meta-GGA SCAN) of RbMgAu3 at its PBEsol-relaxed geometry.

```
data_RbMgAu3
_cell_length_a 5.5687
_cell_length_b 5.5687
_cell_length_c 5.5687
_cell_angle_alpha 90.00
_cell_angle_beta 90.00
_cell_angle_gamma 90.00
_symmetry_space_group_name_H-M 'P 1'
_symmetry_Int_Tables_number 1
loop_
_symmetry_equiv_pos_as_xyz
'x,y,z'
loop_
_atom_site_label
_atom_site_type_symbol
_atom_site_fract_x
_atom_site_fract_y
_atom_site_fract_z
Rb1 Rb 0.0000 0.0000 0.0000
Mg1 Mg 0.5000 0.5000 0.5000
Au1 Au 0.0000 0.0000 0.5000
Au2 Au 0.0000 0.5000 0.0000
Au3 Au 0.5000 0.0000 0.0000
```

Properties
- DOS(E_F) (states/eV/f.u.) = 2.98
- uncorrected energy (eV for the cell shown) = -227.43
- SG = Pm-3m, No. 221
- excess energy over the best structure of this formula in the dataset (eV/atom) = 1.326

***

[5]
The following is a DFT calculation (meta-GGA SCAN) of RbMg2Au at its PBEsol-relaxed geometry.

```
data_RbMg2Au
_cell_length_a 5.1948
_cell_length_b 5.1948
_cell_length_c 5.1948
_cell_angle_alpha 60.00
_cell_angle_beta 60.00
_cell_angle_gamma 60.00
_symmetry_space_group_name_H-M 'P 1'
_symmetry_Int_Tables_number 1
loop_
_symmetry_equiv_pos_as_xyz
'x,y,z'
loop_
_atom_site_label
_atom_site_type_symbol
_atom_site_fract_x
_atom_site_fract_y
_atom_site_fract_z
Rb1 Rb 0.0000 0.0000 0.0000
Mg1 Mg 0.2500 0.2500 0.2500
Mg2 Mg 0.7500 0.7500 0.7500
Au1 Au 0.5000 0.5000 0.5000
```

Properties
- DOS(E_F) (states/eV/f.u.) = 2.28
- uncorrected energy (eV for the cell shown) = -99.50
- SG = Fm-3m, No. 225

***

[6]
The following is a DFT calculation (meta-GGA SCAN) of MgRe2Au at its PBEsol-relaxed geometry.

```
data_MgRe2Au
_cell_length_a 5.3985
_cell_length_b 5.3985
_cell_length_c 5.3985
_cell_angle_alpha 146.30
_cell_angle_beta 133.71
_cell_angle_gamma 58.47
_symmetry_space_group_name_H-M 'P 1'
_symmetry_Int_Tables_number 1
loop_
_symmetry_equiv_pos_as_xyz
'x,y,z'
loop_
_atom_site_label
_atom_site_type_symbol
_atom_site_fract_x
_atom_site_fract_y
_atom_site_fract_z
Mg1 Mg 0.0000 0.0000 0.0000
Re1 Re 0.2551 0.7551 0.5000
Re2 Re 0.7449 0.2449 0.5000
Au1 Au 0.5000 0.5000 0.0000
```

Properties
- DOS(E_F) (states/eV/f.u.) = 2.83
- uncorrected energy (eV for the cell shown) = -215.39
- SG = Immm, No. 71

***

[7]
The following is a DFT calculation (meta-GGA SCAN) of MgRe2Au at its PBEsol-relaxed geometry.

```
data_MgRe2Au
_cell_length_a 4.6971
_cell_length_b 4.6971
_cell_length_c 4.6971
_cell_angle_alpha 130.48
_cell_angle_beta 126.42
_cell_angle_gamma 75.95
_symmetry_space_group_name_H-M 'P 1'
_symmetry_Int_Tables_number 1
loop_
_symmetry_equiv_pos_as_xyz
'x,y,z'
loop_
_atom_site_label
_atom_site_type_symbol
_atom_site_fract_x
_atom_site_fract_y
_atom_site_fract_z
Mg1 Mg 0.0000 0.0000 0.0000
Re1 Re 0.2563 0.7563 0.5000
Re2 Re 0.4868 0.4868 0.0000
Au1 Au 0.7488 0.2488 0.5000
```

Properties
- DOS(E_F) (states/eV/f.u.) = 2.57
- uncorrected energy (eV for the cell shown) = -215.35
- SG = Imm2, No. 44

***

[8]
The following is a DFT calculation (meta-GGA SCAN) of Mg2ReAu at its PBEsol-relaxed geometry.

```
data_Mg2ReAu
_cell_length_a 5.0520
_cell_length_b 5.0520
_cell_length_c 2.7130
_cell_angle_alpha 90.00
_cell_angle_beta 90.00
_cell_angle_gamma 109.36
_symmetry_space_group_name_H-M 'P 1'
_symmetry_Int_Tables_number 1
loop_
_symmetry_equiv_pos_as_xyz
'x,y,z'
loop_
_atom_site_label
_atom_site_type_symbol
_atom_site_fract_x
_atom_site_fract_y
_atom_site_fract_z
Mg1 Mg 0.0000 0.5000 0.0000
Mg2 Mg 0.5000 0.0000 0.0000
Re1 Re 0.0000 0.0000 0.5000
Au1 Au 0.5000 0.5000 0.5000
```

Properties
- DOS(E_F) (states/eV/f.u.) = 1.65
- uncorrected energy (eV for the cell shown) = -150.31
- SG = Cmmm, No. 65
- excess energy over the best structure of this formula in the dataset (eV/atom) = 0.000

***

[9]
The following is a DFT calculation (meta-GGA SCAN) of Mg2ReAu at its PBEsol-relaxed geometry.

```
data_Mg2ReAu
_cell_length_a 4.8162
_cell_length_b 4.8162
_cell_length_c 5.1330
_cell_angle_alpha 99.78
_cell_angle_beta 99.78
_cell_angle_gamma 34.01
_symmetry_space_group_name_H-M 'P 1'
_symmetry_Int_Tables_number 1
loop_
_symmetry_equiv_pos_as_xyz
'x,y,z'
loop_
_atom_site_label
_atom_site_type_symbol
_atom_site_fract_x
_atom_site_fract_y
_atom_site_fract_z
Mg1 Mg 0.2471 0.2471 0.2587
Mg2 Mg 0.7529 0.7529 0.7413
Re1 Re 0.0000 0.0000 0.5000
Au1 Au 0.5000 0.5000 0.0000
```

Properties
- DOS(E_F) (states/eV/f.u.) = 2.26
- uncorrected energy (eV for the cell shown) = -149.80
- SG = C2/m, No. 12
- excess energy over the best structure of this formula in the dataset (eV/atom) = 0.126

***

[10]
The following is a DFT calculation (meta-GGA SCAN) of Mg2ReAu at its PBEsol-relaxed geometry.

```
data_Mg2ReAu
_cell_length_a 3.0199
_cell_length_b 4.5264
_cell_length_c 4.8060
_cell_angle_alpha 90.00
_cell_angle_beta 90.00
_cell_angle_gamma 90.00
_symmetry_space_group_name_H-M 'P 1'
_symmetry_Int_Tables_number 1
loop_
_symmetry_equiv_pos_as_xyz
'x,y,z'
loop_
_atom_site_label
_atom_site_type_symbol
_atom_site_fract_x
_atom_site_fract_y
_atom_site_fract_z
Mg1 Mg 0.0000 0.0000 0.0000
Mg2 Mg 0.5000 0.0000 0.5000
Re1 Re 0.0000 0.5000 0.5000
Au1 Au 0.5000 0.5000 0.0000
```

Properties
- DOS(E_F) (states/eV/f.u.) = 2.38
- uncorrected energy (eV for the cell shown) = -149.51
- SG = Pmmm, No. 47
- excess energy over the best structure of this formula in the dataset (eV/atom) = 0.200

***

[11]
The following is a DFT calculation (meta-GGA SCAN) of MgRe2RuAu at its PBEsol-relaxed geometry.

```
data_MgRe2RuAu
_cell_length_a 4.5872
_cell_length_b 4.5872
_cell_length_c 5.0191
_cell_angle_alpha 90.00
_cell_angle_beta 90.00
_cell_angle_gamma 90.00
_symmetry_space_group_name_H-M 'P 1'
_symmetry_Int_Tables_number 1
loop_
_symmetry_equiv_pos_as_xyz
'x,y,z'
loop_
_atom_site_label
_atom_site_type_symbol
_atom_site_fract_x
_atom_site_fract_y
_atom_site_fract_z
Mg1 Mg 0.0000 0.0000 0.0000
Re1 Re 0.0000 0.5000 0.5000
Re2 Re 0.5000 0.0000 0.5000
Ru1 Ru 0.5000 0.5000 0.5000
Au1 Au 0.5000 0.5000 0.0000
```

Properties
- DOS(E_F) (states/eV/f.u.) = 3.83
- uncorrected energy (eV for the cell shown) = -243.05
- SG = P4/mmm, No. 123

***

[12]
The following is a DFT calculation (meta-GGA SCAN) of MgRh2Au at its PBEsol-relaxed geometry.

```
data_MgRh2Au
_cell_length_a 2.8870
_cell_length_b 4.5509
_cell_length_c 4.5663
_cell_angle_alpha 90.00
_cell_angle_beta 90.00
_cell_angle_gamma 90.00
_symmetry_space_group_name_H-M 'P 1'
_symmetry_Int_Tables_number 1
loop_
_symmetry_equiv_pos_as_xyz
'x,y,z'
loop_
_atom_site_label
_atom_site_type_symbol
_atom_site_fract_x
_atom_site_fract_y
_atom_site_fract_z
Mg1 Mg 0.0000 0.0000 0.0000
Rh1 Rh 0.0000 0.5000 0.5000
Rh2 Rh 0.5000 0.5000 0.0000
Au1 Au 0.5000 0.0000 0.5000
```

Properties
- DOS(E_F) (states/eV/f.u.) = 3.91
- uncorrected energy (eV for the cell shown) = -142.52
- SG = Pmmm, No. 47

***

[13]
The following is a DFT calculation (meta-GGA SCAN) of MgRh2Au at its PBEsol-relaxed geometry.

```
data_MgRh2Au
_cell_length_a 3.9193
_cell_length_b 3.9193
_cell_length_c 3.8624
_cell_angle_alpha 90.00
_cell_angle_beta 90.00
_cell_angle_gamma 90.00
_symmetry_space_group_name_H-M 'P 1'
_symmetry_Int_Tables_number 1
loop_
_symmetry_equiv_pos_as_xyz
'x,y,z'
loop_
_atom_site_label
_atom_site_type_symbol
_atom_site_fract_x
_atom_site_fract_y
_atom_site_fract_z
Mg1 Mg 0.0000 0.0000 0.0000
Rh1 Rh 0.0000 0.5000 0.5000
Rh2 Rh 0.5000 0.0000 0.5000
Au1 Au 0.5000 0.5000 0.0000
```

Properties
- DOS(E_F) (states/eV/f.u.) = 3.87
- uncorrected energy (eV for the cell shown) = -142.81
- SG = P4/mmm, No. 123

***

[14]
The following is a DFT calculation (meta-GGA SCAN) of MgRh2Au at its PBEsol-relaxed geometry.

```
data_MgRh2Au
_cell_length_a 5.3000
_cell_length_b 5.3000
_cell_length_c 5.3000
_cell_angle_alpha 147.95
_cell_angle_beta 129.14
_cell_angle_gamma 61.39
_symmetry_space_group_name_H-M 'P 1'
_symmetry_Int_Tables_number 1
loop_
_symmetry_equiv_pos_as_xyz
'x,y,z'
loop_
_atom_site_label
_atom_site_type_symbol
_atom_site_fract_x
_atom_site_fract_y
_atom_site_fract_z
Mg1 Mg 0.0000 0.0000 0.0000
Rh1 Rh 0.2515 0.7515 0.5000
Rh2 Rh 0.4854 0.4854 0.0000
Au1 Au 0.7440 0.2440 0.5000
```

Properties
- DOS(E_F) (states/eV/f.u.) = 3.23
- uncorrected energy (eV for the cell shown) = -142.34
- SG = Imm2, No. 44

***

[15]
The following is a DFT calculation (meta-GGA SCAN) of MgRu2Au at its PBEsol-relaxed geometry.

```
data_MgRu2Au
_cell_length_a 4.8868
_cell_length_b 4.8868
_cell_length_c 4.6339
_cell_angle_alpha 99.76
_cell_angle_beta 99.76
_cell_angle_gamma 33.15
_symmetry_space_group_name_H-M 'P 1'
_symmetry_Int_Tables_number 1
loop_
_symmetry_equiv_pos_as_xyz
'x,y,z'
loop_
_atom_site_label
_atom_site_type_symbol
_atom_site_fract_x
_atom_site_fract_y
_atom_site_fract_z
Mg1 Mg 0.0000 0.0000 0.0000
Ru1 Ru 0.2488 0.2488 0.7623
Ru2 Ru 0.7512 0.7512 0.2377
Au1 Au 0.5000 0.5000 0.5000
```

Properties
- DOS(E_F) (states/eV/f.u.) = 3.69
- uncorrected energy (eV for the cell shown) = -143.31
- SG = C2/m, No. 12